[1]
{"formula": "Ni2Mo", "functional": "PBE", "state": "relaxed", "lattice_angstrom": [[3.658, 2.112, 5.973], [-3.658, 2.112, 5.973], [0.000, -4.224, 5.973]], "species": ["Mo", "Mo", "Ni", "Ni", "Ni", "Ni"], "fractional_positions": [[0.250, 0.250, 0.250], [0.500, 0.500, 0.500], [0.875, 0.375, 0.375], [0.375, 0.875, 0.375], [0.375, 0.375, 0.375], [0.375, 0.375, 0.875]], "total_energy_ev_per_atom": -4.498, "delta_e_f_mev_per_atom": 2830, "m_tot_mub_per_atom": 0.38}

=====

[2]
{"formula": "NiMo2", "functional": "PBE", "state": "relaxed", "lattice_angstrom": [[3.764, 2.173, 6.146], [-3.764, 2.173, 6.146], [0.000, -4.346, 6.146]], "species": ["Mo", "Mo", "Mo", "Mo", "Ni", "Ni"], "fractional_positions": [[0.375, 0.375, 0.375], [0.875, 0.375, 0.375], [0.375, 0.875, 0.375], [0.375, 0.375, 0.875], [0.250, 0.250, 0.250], [0.500, 0.500, 0.500]], "total_energy_ev_per_atom": -5.665, "delta_e_f_mev_per_atom": 3423, "m_tot_mub_per_atom": 2.33}

=====

[3]
{"formula": "NiMo2", "functional": "PBE", "state": "relaxed", "lattice_angstrom": [[0.000, 3.600, 3.600], [3.600, 0.000, 3.600], [3.600, 3.600, 0.000]], "species": ["Mo", "Mo", "Mo", "Mo", "Ni", "Ni"], "fractional_positions": [[0.625, 0.625, 0.125], [0.625, 0.125, 0.625], [0.125, 0.625, 0.625], [0.625, 0.625, 0.625], [0.000, 0.000, 0.000], [0.250, 0.250, 0.250]], "total_energy_ev_per_atom": -8.528, "delta_e_f_mev_per_atom": 560, "m_tot_mub_per_atom": 0.00}

=====

[4]
{"formula": "NiMo", "functional": "PBE", "state": "relaxed", "lattice_angstrom": [[2.059, -3.566, 0.000], [2.059, 3.566, 0.000], [0.000, 0.000, 4.737]], "species": ["Mo", "Mo", "Ni", "Ni"], "fractional_positions": [[0.333, 0.667, 0.438], [0.000, 0.000, 0.938], [0.000, 0.000, 0.437], [0.333, 0.667, 0.937]], "total_energy_ev_per_atom": -7.081, "delta_e_f_mev_per_atom": 1127, "m_tot_mub_per_atom": 0.00}

=====

[5]
{"formula": "Ni2Mo", "functional": "PBE", "state": "relaxed", "lattice_angstrom": [[-0.300, 2.025, 5.337], [0.907, 4.716, 3.100], [-2.050, -2.837, -4.519]], "species": ["Mo", "Ni", "Ni"], "fractional_positions": [[0.000, 0.000, 0.000], [0.327, 0.327, 0.000], [0.673, 0.673, 0.000]], "total_energy_ev_per_atom": -7.345, "delta_e_f_mev_per_atom": -17, "m_tot_mub_per_atom": 0.00}

=====

[6]
{"formula": "NiMo2", "functional": "PBE", "state": "relaxed", "lattice_angstrom": [[-3.988, 1.204, -3.468], [2.757, -2.399, -4.004], [-1.563, -3.036, 0.743]], "species": ["Mo", "Mo", "Mo", "Mo", "Ni", "Ni"], "fractional_positions": [[0.296, 0.296, 0.000], [0.704, 0.704, 0.000], [0.796, 0.204, 0.500], [0.204, 0.796, 0.500], [0.000, 0.000, 0.000], [0.500, 0.500, 0.500]], "total_energy_ev_per_atom": -7.774, "delta_e_f_mev_per_atom": 1313, "m_tot_mub_per_atom": 0.09}